(1)
Entry from Alexandria via LeMat-Bulk: an optimized crystal structure of SmPaAlO6 (GGA-PBE).

Geometry as CIF:
```
data_SmPaAlO6
_space_group_name_H-M_alt 'P 3 1 2'
_space_group_IT_number 149
_cell_length_a 5.4244
_cell_length_b 5.4244
_cell_length_c 4.7409
_cell_angle_alpha 90.00
_cell_angle_beta 90.00
_cell_angle_gamma 120.00
loop_
_space_group_symop_operation_xyz
'x,y,z'
'-y,x-y,z'
'-x+y,-x,z'
'-y,-x,-z'
'-x+y,y,-z'
'x,x-y,-z'
loop_
_atom_site_label
_atom_site_type_symbol
_atom_site_fract_x
_atom_site_fract_y
_atom_site_fract_z
Sm1 Sm 0.0000 0.0000 0.0000
Pa1 Pa 0.6667 0.3333 0.5000
Al1 Al 0.3333 0.6667 0.0000
O1 O 0.0221 0.3849 0.2335
```

- Raw formation energy: -26.7 eV/f.u.

***

(2)
Entry from Alexandria via LeMat-Bulk: an optimized crystal structure of CaSm2ScBi4 (GGA-PBE).

Geometry as CIF:
```
data_CaSm2ScBi4
_space_group_name_H-M_alt 'P 1 2/m 1'
_space_group_IT_number 10
_cell_length_a 7.7337
_cell_length_b 4.4803
_cell_length_c 7.8674
_cell_angle_alpha 90.00
_cell_angle_beta 109.23
_cell_angle_gamma 90.00
loop_
_space_group_symop_operation_xyz
'x,y,z'
'-x,-y,-z'
'-x,y,-z'
'x,-y,z'
loop_
_atom_site_label
_atom_site_type_symbol
_atom_site_fract_x
_atom_site_fract_y
_atom_site_fract_z
Ca1 Ca 0.0000 0.0000 0.0000
Sm1 Sm 0.5000 0.0000 0.5000
Sm2 Sm 0.5000 0.5000 0.0000
Sc1 Sc 0.0000 0.5000 0.5000
Bi1 Bi 0.2363 0.0000 0.7364
Bi2 Bi 0.2436 0.5000 0.2583
```

- E: -4.93 eV/atom

***

(3)
Entry from Alexandria via LeMat-Bulk: an optimized crystal structure of FeTeP2 (GGA-PBE).

Geometry as CIF:
```
data_FeTeP2
_space_group_name_H-M_alt 'P 1 m 1'
_space_group_IT_number 6
_cell_length_a 3.7600
_cell_length_b 3.7384
_cell_length_c 5.2985
_cell_angle_alpha 90.00
_cell_angle_beta 91.53
_cell_angle_gamma 90.00
loop_
_space_group_symop_operation_xyz
'x,y,z'
'x,-y,z'
loop_
_atom_site_label
_atom_site_type_symbol
_atom_site_fract_x
_atom_site_fract_y
_atom_site_fract_z
Fe1 Fe 0.0000 0.0000 0.0000
Te1 Te 0.8595 0.5000 0.3096
P1 P 0.1355 0.5000 0.7786
P2 P 0.5090 0.0000 0.7728
```

- Raw formation energy: 0.3 eV/f.u.

***

(4)
Entry from Alexandria via LeMat-Bulk: an optimized crystal structure of LaMn2Ru (GGA-PBE).

Geometry as CIF:
```
data_LaMn2Ru
_space_group_name_H-M_alt 'F -4 3 m'
_space_group_IT_number 216
_space_group_name_Hall 'F -4 2 3'
_cell_length_a 6.6259
_cell_length_b 6.6259
_cell_length_c 6.6259
_cell_angle_alpha 90.00
_cell_angle_beta 90.00
_cell_angle_gamma 90.00
loop_
_atom_site_label
_atom_site_type_symbol
_atom_site_fract_x
_atom_site_fract_y
_atom_site_fract_z
La1 La 0.0000 0.0000 0.0000
Mn1 Mn 0.0000 0.0000 0.5000
Mn2 Mn 0.2500 0.2500 0.2500
Ru1 Ru 0.2500 0.2500 0.7500
```

- E: -7.84 eV/atom

***

(5)
Entry from Alexandria via LeMat-Bulk: an optimized crystal structure of InMoPb2 (GGA-PBE).

Geometry as CIF:
```
data_InMoPb2
_space_group_name_H-M_alt 'I m m m'
_space_group_IT_number 71
_space_group_name_Hall '-I 2 2'
_cell_length_a 3.0845
_cell_length_b 4.8911
_cell_length_c 14.1934
_cell_angle_alpha 90.00
_cell_angle_beta 90.00
_cell_angle_gamma 90.00
loop_
_atom_site_label
_atom_site_type_symbol
_atom_site_fract_x
_atom_site_fract_y
_atom_site_fract_z
In1 In 0.0000 0.0000 0.0000
Mo1 Mo 0.0000 0.0000 0.5000
Pb1 Pb 0.0000 0.5000 0.1785
```

- E: -4.89 eV/atom

***

(6)
Entry from Alexandria via LeMat-Bulk: an optimized crystal structure of KLiH3 (GGA-PBE).

Geometry as CIF:
```
data_KLiH3
_space_group_name_H-M_alt 'P m -3 m'
_space_group_IT_number 221
_space_group_name_Hall '-P 4 2 3'
_cell_length_a 3.9731
_cell_length_b 3.9731
_cell_length_c 3.9731
_cell_angle_alpha 90.00
_cell_angle_beta 90.00
_cell_angle_gamma 90.00
loop_
_atom_site_label
_atom_site_type_symbol
_atom_site_fract_x
_atom_site_fract_y
_atom_site_fract_z
K1 K 0.0000 0.0000 0.0000
Li1 Li 0.5000 0.5000 0.5000
H1 H 0.0000 0.5000 0.5000
```

- Offset from the most stable computed form: 0 meV/atom

***

(7)
Entry from Alexandria via LeMat-Bulk: an optimized crystal structure of K2RbCe3O8 (GGA-PBE).

Geometry as CIF:
```
data_K2RbCe3O8
_space_group_name_H-M_alt 'R 3 m'
_space_group_IT_number 160
_space_group_name_Hall 'R 3 -2"'
_cell_length_a 7.2086
_cell_length_b 7.2086
_cell_length_c 19.1586
_cell_angle_alpha 90.00
_cell_angle_beta 90.00
_cell_angle_gamma 120.00
loop_
_atom_site_label
_atom_site_type_symbol
_atom_site_fract_x
_atom_site_fract_y
_atom_site_fract_z
K1 K 0.0000 0.0000 0.0000
K2 K 0.0000 0.0000 0.3795
Rb1 Rb 0.0000 0.0000 0.7534
Ce1 Ce 0.0001 0.5000 0.8796
O1 O 0.0000 0.0000 0.1545
O2 O 0.0000 0.0000 0.6036
O3 O 0.0501 0.5250 0.1559
O4 O 0.1899 0.3798 0.9369
```

- Raw formation energy: -36.2 eV/f.u.

***

(8)
Entry from Alexandria via LeMat-Bulk: an optimized crystal structure of Rb2SrCrBr (GGA-PBE).

Geometry as CIF:
```
data_Rb2SrCrBr
_space_group_name_H-M_alt 'P 4/m m m'
_space_group_IT_number 123
_space_group_name_Hall '-P 4 2'
_cell_length_a 6.8453
_cell_length_b 6.8453
_cell_length_c 5.4662
_cell_angle_alpha 90.00
_cell_angle_beta 90.00
_cell_angle_gamma 90.00
loop_
_atom_site_label
_atom_site_type_symbol
_atom_site_fract_x
_atom_site_fract_y
_atom_site_fract_z
Rb1 Rb 0.0000 0.5000 0.0000
Sr1 Sr 0.0000 0.0000 0.5000
Cr1 Cr 0.5000 0.5000 0.5000
Br1 Br 0.5000 0.5000 0.0000
```

- Raw formation energy: 0.6 eV/f.u.

***

| no. | total moment (μB per formula unit) | calculated density (g/cm³) |
| --- | --- | --- |
| 1 | 0.82 | 6.93 |
| 2 | 0.00 | 7.88 |
| 3 | 0.00 | 5.47 |
| 4 | 0.91 | 7.99 |
| 5 | 0.00 | 9.70 |
| 6 | 0.00 | 1.30 |
| 7 | 1.19 | 4.11 |
| 8 | 4.76 | 2.53 |